No. 1
Entry from Alexandria: a geometry-optimized Al2Cu3Si structure (PBE).

- Polymorph energy (0 for the lowest one): 28 meV per atom
- Volume: 161.7 Å³ per cell
- DOS(E_F): 4.7 states/eV/cell

Geometry as extended XYZ:
```
12
Lattice="5.5070 0.0063 0.0013 -2.7627 4.7638 -0.0013 -0.0016 0.0009 6.1582" Properties=species:S:1:pos:R:3 pbc="T T T"
Cu 1.3719 0.7958 2.0526
Al 1.3721 2.3851 0.0000
Cu -0.0032 1.5870 4.1055
Cu -1.3867 3.9722 4.1043
Si -0.0066 3.1782 2.1593
Si 2.7492 1.5928 3.9988
Al 2.7535 0.0031 0.0006
Cu 4.1294 0.7988 2.0538
Cu 2.7458 3.1841 2.0526
Cu 1.3707 3.9752 4.1055
Al -1.3814 2.3819 -0.0006
Al 0.0000 0.0000 0.0000
```

---

No. 2
Entry from Alexandria: a geometry-optimized AlCu2Si structure (PBE).

- Volume: 58.5 Å³ per cell
- DOS(E_F): 1.7 states/eV/cell

Geometry as extended XYZ:
```
4
Lattice="-1.8934 3.4925 -0.6654 -3.2794 0.0998 -2.3368 -4.1225 0.5331 2.3365" Properties=species:S:1:pos:R:3 pbc="T T T"
Al -7.4685 2.9564 0.1923
Cu -3.5822 0.6828 1.5846
Cu -2.1771 1.0720 -0.3705
Si -4.8376 2.0101 -0.0685
```

---

No. 3
Entry from Alexandria: a geometry-optimized AlCu14Si structure (PBE).

- Volume: 194.1 Å³ per cell
- DOS(E_F): 5.7 states/eV/cell

Geometry as extended XYZ:
```
16
Lattice="5.1506 -0.2443 0.0000 -2.2434 4.6428 0.0000 0.0000 0.0000 8.3087" Properties=species:S:1:pos:R:3 pbc="T T T"
Cu 4.2324 0.3626 2.0420
Cu 0.3857 1.3360 0.0000
Cu 1.6551 0.4926 2.0799
Cu 0.6759 4.3062 4.1544
Cu 0.5351 2.8064 6.2231
Al -1.9059 4.4198 4.1544
Si 1.8006 1.9699 4.1544
Cu -0.7411 3.6499 0.0000
Cu 2.9521 1.2088 0.0000
Cu 4.2324 0.3626 6.2667
Cu 0.5351 2.8064 2.0857
Cu -0.7896 2.0890 4.1544
Cu 1.8293 3.5200 0.0000
Cu 3.1027 2.6828 6.2288
Cu 1.6551 0.4926 6.2288
Cu 3.1027 2.6828 2.0799
```

---

No. 4
Entry from Alexandria: a geometry-optimized Al3CuSi2 structure (PBE).

- Polymorph energy (0 for the lowest one): 0 meV per atom
- Volume: 88.9 Å³ per cell
- DOS(E_F): 1.8 states/eV/cell

Geometry as extended XYZ:
```
6
Lattice="-1.7917 1.8765 5.8191 -0.9885 0.5921 -6.2662 -2.5994 -2.9029 0.1357" Properties=species:S:1:pos:R:3 pbc="T T T"
Si -2.4179 -0.6520 -4.2477
Cu 0.0000 0.0000 0.0000
Al -1.2574 1.0220 -2.2211
Si -2.9618 0.2177 3.9363
Al -1.5229 1.4466 1.7740
Al -2.6898 -0.2171 -0.1557
```

---

No. 5
Entry from Alexandria: a geometry-optimized AlCuSi2 structure (PBE).

- Volume: 139.4 Å³ per cell
- DOS(E_F): 1.3 states/eV/cell

Geometry as extended XYZ:
```
8
Lattice="1.9971 -3.4591 0.0000 1.9971 3.4591 0.0000 0.0000 0.0000 10.0861" Properties=species:S:1:pos:R:3 pbc="T T T"
Al 1.9971 1.1530 4.1229
Si 1.9971 -1.1530 2.7314
Al 1.9971 -1.1530 5.9631
Cu 0.0000 0.0000 6.5005
Si 1.9971 1.1530 7.3547
Si 1.9971 1.1530 9.7190
Cu 0.0000 0.0000 3.5855
Si 1.9971 -1.1530 0.3671
```

---

No. 6
Entry from Alexandria: a geometry-optimized AlCu2Si structure (PBE).

- Volume: 53.3 Å³ per cell
- DOS(E_F): 1.0 states/eV/cell

Geometry as extended XYZ:
```
4
Lattice="-1.8827 -1.9499 0.1117 1.1071 -1.2591 -3.3195 3.4621 -3.2071 2.3712" Properties=species:S:1:pos:R:3 pbc="T T T"
Cu 1.7273 -1.6000 1.1830
Al 2.2088 -4.0098 0.1745
Si 0.4777 -2.4063 -1.0111
Cu 0.0038 -0.0035 0.0026
```

---

Energy relative to the elements, uncorrected in eV per atom, matching the order above: -0.0268; 0.0544; -0.0367; 0.1016; 0.0865; -0.0012